# 1
Here is a relaxed structure of KGaHg3 from Alexandria. Energies are from PBE.

## Properties
- Relative energy among the computed polymorphs: 611 meV per atom
- Energy of formation from the pure elements: 0.44 eV/atom
- N(E_F): 1.487 states/eV/atom
- V: 48.1 Å³ per atom

a = 6.2182 Å, b = 6.2182 Å, c = 6.2182 Å
α = 90.00°, β = 90.00°, γ = 90.00°
With the nearest neighbours (Å) after each atom.
Positions (direct):
K 0.0000 0.0000 0.0000  6 Hg 3.11
Hg 0.0000 0.5000 0.0000  2 K 3.11
Hg 0.0000 0.0000 0.5000  2 K 3.11
Hg 0.5000 0.0000 0.0000  2 K 3.11
Ga 0.5000 0.5000 0.5000  12 Hg 4.40



# 2
Here is a relaxed structure of KGaHg from Alexandria. Energies are from PBE.

## Properties
- Relative energy among the computed polymorphs: 0 meV per atom
- Energy of formation from the pure elements: -0.10 eV/atom
- N(E_F): 0.691 states/eV/atom
- V: 31.0 Å³ per atom

a = 4.4362 Å, b = 4.9199 Å, c = 4.9199 Å
α = 120.00°, β = 90.00°, γ = 90.00°
With the nearest neighbours (Å) after each atom.
Positions (direct):
K 0.6666 0.3333 0.6667  6 Ga 3.60, 6 Hg 3.60
Hg 0.1667 0.0000 0.0000  3 Ga 2.84
Ga 0.1667 0.6667 0.3333  3 Hg 2.84



Q: relative energy among the computed polymorphs of number 2 (KGaHg)?
A: 0 meV per atom



Q: Number 2 is which compound?
A: KGaHg